[1]
Here is a geometry-optimized RbP2SeO8 structure from the Alexandria database. Energies are from PBE-GGA.

Geometry as POSCAR:
```
RbP2SeO8
1.0
-3.247 -3.481 0.822
1.725 -3.867 2.327
-2.125 2.917 7.770
Rb P Se O
1 2 1 8
direct
0.000 0.000 0.500
0.630 0.630 0.187
0.370 0.370 0.813
0.000 0.000 0.000
0.728 0.241 0.832
0.761 0.761 0.041
0.687 0.687 0.348
0.313 0.313 0.652
0.239 0.239 0.959
0.241 0.728 0.832
0.759 0.272 0.168
0.272 0.759 0.168
```

## Properties
Formation energy from raw total energies, meV per atom: -1617
Space group: C2/m, No. 12
Crystal system: monoclinic
Volume, Å³/cell: 180.8

***

[2]
Here is a geometry-optimized K2LaSb structure from the Alexandria database. Energies are from PBE-GGA.

Geometry as POSCAR:
```
K2LaSb
1.0
8.405 0.192 -0.027
4.896 6.834 0.027
-6.091 -4.572 3.560
K La Sb
2 1 1
direct
0.924 0.924 0.000
0.258 0.758 0.500
0.589 0.589 0.000
0.730 0.230 0.500
```

## Properties
Formation energy from raw total energies, meV per atom: -183
Space group: Imm2, No. 44
Crystal system: orthorhombic
Volume, Å³/cell: 201.6

***

[3]
Here is a geometry-optimized HfTlIr3 structure from the Alexandria database. Energies are from PBE-GGA.

Geometry as POSCAR:
```
HfTlIr3
1.0
4.882 0.000 0.000
0.000 4.882 0.000
0.000 0.000 4.882
Tl Ir Hf
1 3 1
direct
0.500 0.500 0.500
0.000 0.500 0.000
0.000 0.000 0.500
0.500 0.000 0.000
0.000 0.000 0.000
```

## Properties
Formation energy from the elements, eV per formula unit: 6.47
Space group: Pm-3m, No. 221
Crystal system: cubic
Volume, Å³/cell: 116.4

***

[4]
Here is a geometry-optimized Sr3Pb2 structure from the Alexandria database. Energies are from PBE-GGA.

Geometry as POSCAR:
```
Sr3Pb2
1.0
-6.106 1.725 8.514
-2.582 7.081 5.924
-6.851 0.175 -0.917
Sr Pb
6 4
direct
0.716 0.482 0.364
0.438 0.364 0.482
0.768 0.534 0.812
0.886 0.812 0.534
0.095 0.905 0.905
0.345 0.155 0.155
0.174 0.898 0.352
0.576 0.352 0.898
0.352 0.076 0.674
0.898 0.674 0.076
```

## Properties
Formation energy from the elements, eV per formula unit: -1.84
Space group: Fdd2, No. 43
Crystal system: orthorhombic
Volume, Å³/cell: 381.1

***

[5]
Here is a geometry-optimized BaPuZn structure from the Alexandria database. Energies are from PBE-GGA.

Geometry as POSCAR:
```
BaPuZn
1.0
-0.625 -1.328 -3.223
2.320 -2.603 0.622
-9.768 -7.513 4.991
Ba Zn Pu
2 2 2
direct
0.000 0.500 0.854
0.500 0.000 0.146
0.000 0.500 0.313
0.500 0.000 0.687
0.500 0.500 0.500
0.000 0.000 0.500
```

## Properties
Formation energy from the elements, eV per formula unit: 1.17
Space group: P4/nmm, No. 129
Crystal system: tetragonal
Volume, Å³/cell: 166.8

***

[6]
Here is a geometry-optimized LiSiNi structure from the Alexandria database. Energies are from PBE-GGA.

Geometry as POSCAR:
```
LiSiNi
1.0
-3.762 1.553 -1.451
-1.560 -3.314 2.411
1.481 3.630 1.962
Li Si Ni
2 2 2
direct
0.250 0.067 0.433
0.750 0.933 0.567
0.250 0.722 0.778
0.750 0.278 0.222
0.750 0.606 0.894
0.250 0.394 0.106
```

## Properties
Formation energy from raw total energies, meV per atom: -380
Space group: C2/c, No. 15
Crystal system: monoclinic
Volume, Å³/cell: 68.8

***

[7]
Here is a geometry-optimized AlVCl5 structure from the Alexandria database. Energies are from PBE-GGA.

Geometry as POSCAR:
```
AlVCl5
1.0
6.358 0.059 -2.321
-0.923 6.292 -2.321
-0.042 -0.049 9.295
Al V Cl
2 2 10
direct
0.879 0.621 0.250
0.121 0.379 0.750
0.500 0.000 0.000
0.500 0.000 0.500
0.740 0.721 0.044
0.225 0.672 0.341
0.423 0.077 0.250
0.779 0.760 0.456
0.221 0.240 0.544
0.828 0.275 0.159
0.172 0.725 0.841
0.577 0.923 0.750
0.775 0.328 0.659
0.260 0.279 0.956
```

## Properties
Formation energy from raw total energies, meV per atom: -1283
Space group: C2/c, No. 15
Crystal system: monoclinic
Volume, Å³/cell: 370.9

***

[8]
Here is a geometry-optimized Mg2Cd2Pt3 structure from the Alexandria database. Energies are from PBE-GGA.

Geometry as POSCAR:
```
Mg2Cd2Pt3
1.0
4.350 0.008 -1.205
-2.338 3.827 -0.007
-0.150 -0.100 7.801
Mg Cd Pt
2 2 3
direct
0.760 0.379 0.141
0.240 0.621 0.859
0.257 0.126 0.391
0.743 0.874 0.609
0.000 0.000 0.000
0.518 0.261 0.773
0.482 0.739 0.227
```

## Properties
Formation energy from the elements, eV per formula unit: -4.07
Space group: P-1, No. 2
Crystal system: triclinic
Volume, Å³/cell: 129.0